No. 1
Compound: Cs2HoU2Te6
Source: the Alexandria database
Functional: PBE
Structure: relaxed

Calculated values
**DFT total energy**: -5.34 eV/atom
**N(E_F)**: 16.0 states/eV per cell
**Energy relative to the elements, uncorrected**: -1.01 eV/atom

Cell lengths 7.7163, 7.7163, 9.5533 Å; angles 97.76, 97.76, 119.99 degrees
Atoms (fractional coordinates):
Cs 0.1663 0.8337 0.0000
Cs 0.8337 0.1663 0.0000
Ho 0.0000 0.0000 0.5000
U 0.3329 0.6671 0.5000
U 0.6671 0.3329 0.5000
Te 0.0647 0.3955 0.6890
Te 0.2710 0.2710 0.3118
Te 0.3955 0.0647 0.6890
Te 0.6045 0.9353 0.3110
Te 0.7290 0.7290 0.6882
Te 0.9353 0.6045 0.3110


No. 2
Compound: NiAg2Ir
Source: the Alexandria database
Functional: PBE
Structure: relaxed

Calculated values
**DFT total energy**: -4.74 eV/atom
**Formation enthalpy at 0 K**: 0.344 eV per atom
**N(E_F)**: 5.4 states/eV per cell

Cell lengths 4.7553, 2.7320, 4.9297 Å; angles 90.00, 108.15, 90.00 degrees
Atoms (fractional coordinates):
Ni 0.0000 0.0000 0.0000
Ag 0.0000 0.5000 0.5000
Ag 0.5000 0.0000 0.5000
Ir 0.5000 0.5000 0.0000


No. 3
Compound: AsRhI2
Source: the Alexandria database
Functional: PBE
Structure: relaxed

Calculated values
**DFT total energy**: -3.02 eV/atom
**N(E_F)**: 3.3 states/eV per cell
**Energy relative to the elements, uncorrected**: 0.76 eV/atom

Cell lengths 5.0611, 5.0611, 5.0611 Å; angles 60.00, 60.00, 60.00 degrees
Atoms (fractional coordinates):
As 0.0000 0.0000 0.0000
Rh 0.5000 0.5000 0.5000
I 0.2500 0.2500 0.2500
I 0.7500 0.7500 0.7500


No. 4
Compound: RbCo
Source: the Alexandria database
Functional: PBE
Structure: relaxed

Calculated values
**DFT total energy**: -3.13 eV/atom
**Formation enthalpy at 0 K**: 0.905 eV per atom
**N(E_F)**: 10.6 states/eV per cell

Cell lengths 9.5303, 9.5303, 9.5303 Å; angles 92.31, 92.31, 156.82 degrees
Atoms (fractional coordinates):
Rb 0.0000 0.2542 0.2542
Rb 0.0000 0.7458 0.7458
Rb 0.2542 0.0000 0.2542
Rb 0.7458 0.0000 0.7458
Co 0.2783 0.2783 0.5567
Co 0.2783 0.7217 0.0000
Co 0.7217 0.2783 0.0000
Co 0.7217 0.7217 0.4433


No. 5
Compound: Be2Tl2HgBr6
Source: the Alexandria database
Functional: PBE
Structure: relaxed

Calculated values
**DFT total energy**: -2.87 eV/atom
**N(E_F)**: 0.0 states/eV per cell
**Energy relative to the elements, uncorrected**: -0.83 eV/atom

Cell lengths 7.8031, 8.1217, 8.2139 Å; angles 81.53, 73.71, 61.54 degrees
Atoms (fractional coordinates):
Be 0.2014 0.2419 0.0684
Be 0.7986 0.7581 0.9316
Tl 0.1910 0.7797 0.2291
Tl 0.8090 0.2203 0.7709
Hg 0.5000 0.5000 0.5000
Br 0.1195 0.1976 0.3289
Br 0.2476 0.0460 0.8983
Br 0.2811 0.4551 0.9659
Br 0.7189 0.5449 0.0341
Br 0.7524 0.9540 0.1017
Br 0.8805 0.8024 0.6711


No. 6
Compound: Cs5Rb2I
Source: the Alexandria database
Functional: PBE
Structure: relaxed

Calculated values
**DFT total energy**: -1.30 eV/atom
**N(E_F)**: 13.5 states/eV per cell
**Energy relative to the elements, uncorrected**: -0.33 eV/atom

Cell lengths 8.8709, 8.8709, 24.1272 Å; angles 90.00, 90.00, 123.18 degrees
Atoms (fractional coordinates):
Cs 0.0828 0.9172 0.6313
Cs 0.0828 0.9172 0.8687
Cs 0.2503 0.7497 0.2500
Cs 0.4154 0.5846 0.6326
Cs 0.4154 0.5846 0.8674
Cs 0.5846 0.4154 0.1326
Cs 0.5846 0.4154 0.3674
Cs 0.7497 0.2503 0.7500
Cs 0.9172 0.0828 0.1313
Cs 0.9172 0.0828 0.3687
Rb 0.2529 0.7471 0.0486
Rb 0.2529 0.7471 0.4514
Rb 0.7471 0.2529 0.5486
Rb 0.7471 0.2529 0.9514
I 0.2483 0.7517 0.7500
I 0.7517 0.2483 0.2500


No. 7
Compound: YMgCuH2
Source: the Alexandria database
Functional: PBE
Structure: relaxed

Calculated values
**DFT total energy**: -3.26 eV/atom
**N(E_F)**: 2.3 states/eV per cell

Cell lengths 4.0290, 4.0290, 4.7645 Å; angles 90.00, 90.00, 90.00 degrees
Atoms (fractional coordinates):
Y 0.0000 0.0000 0.0000
Mg 0.5000 0.5000 0.0000
Cu 0.5000 0.5000 0.5000
H 0.0000 0.5000 0.5000
H 0.5000 0.0000 0.5000


No. 8
Compound: Hf2TaS6
Source: the Alexandria database
Functional: PBE
Structure: relaxed

Calculated values
**DFT total energy**: -7.65 eV/atom
**N(E_F)**: 3.0 states/eV per cell
**Energy relative to the elements, uncorrected**: -1.37 eV/atom

Cell lengths 8.6912, 8.6912, 7.9807 Å; angles 111.50, 111.50, 23.52 degrees
Atoms (fractional coordinates):
Hf 0.1654 0.1654 0.3317
Hf 0.8346 0.8346 0.6683
Ta 0.5000 0.5000 0.0000
S 0.0036 0.0036 0.2233
S 0.3269 0.3269 0.4355
S 0.3434 0.3434 0.9049
S 0.6566 0.6566 0.0951
S 0.6731 0.6731 0.5645
S 0.9964 0.9964 0.7767


No. 9
Compound: CaNd2Ag
Source: the Alexandria database
Functional: PBE
Structure: relaxed

Calculated values
**DFT total energy**: -3.57 eV/atom
**Formation enthalpy at 0 K**: 0.028 eV per atom
**N(E_F)**: 4.5 states/eV per cell

Cell lengths 4.7694, 4.7694, 5.3788 Å; angles 90.00, 90.00, 90.00 degrees
Atoms (fractional coordinates):
Ca 0.0000 0.0000 0.0000
Nd 0.0000 0.5000 0.5000
Nd 0.5000 0.0000 0.5000
Ag 0.5000 0.5000 0.0000


No. 10
Compound: Ce2TcNiN5
Source: the Alexandria database
Functional: PBE
Structure: relaxed

Calculated values
**DFT total energy**: -8.35 eV/atom
**N(E_F)**: 8.9 states/eV per cell
**Energy relative to the elements, uncorrected**: -0.61 eV/atom

Cell lengths 6.6091, 6.6091, 9.9246 Å; angles 90.00, 90.00, 150.49 degrees
Atoms (fractional coordinates):
Ce 0.1063 0.8937 0.5000
Ce 0.1479 0.8521 0.1230
Ce 0.8521 0.1479 0.6230
Ce 0.8937 0.1063 0.0000
Tc 0.1973 0.8027 0.8347
Tc 0.8027 0.1973 0.3347
Ni 0.4735 0.5265 0.2606
Ni 0.5265 0.4735 0.7606
N 0.0551 0.9449 0.8635
N 0.2827 0.7173 0.4586
N 0.3246 0.6754 0.1881
N 0.3697 0.6303 0.8104
N 0.4861 0.5139 0.5775
N 0.5139 0.4861 0.0775
N 0.6303 0.3697 0.3104
N 0.6754 0.3246 0.6881
N 0.7173 0.2827 0.9586
N 0.9449 0.0551 0.3635


No. 11
Compound: Ca2PrMg9
Source: the Alexandria database
Functional: PBE
Structure: relaxed

Calculated values
**DFT total energy**: -2.00 eV/atom
**Formation enthalpy at 0 K**: -0.075 eV per atom
**N(E_F)**: 10.9 states/eV per cell

Cell lengths 10.5407, 10.5407, 10.5407 Å; angles 33.92, 33.92, 33.92 degrees
Atoms (fractional coordinates):
Ca 0.1421 0.1421 0.1421
Ca 0.8579 0.8579 0.8579
Pr 0.0000 0.0000 0.0000
Mg 0.0799 0.5841 0.5841
Mg 0.3336 0.3336 0.3336
Mg 0.4159 0.4159 0.9201
Mg 0.4159 0.9201 0.4159
Mg 0.5000 0.5000 0.5000
Mg 0.5841 0.0799 0.5841
Mg 0.5841 0.5841 0.0799
Mg 0.6664 0.6664 0.6664
Mg 0.9201 0.4159 0.4159


No. 12
Compound: YEr2Ga9
Source: the Alexandria database
Functional: PBE
Structure: relaxed

Calculated values
**DFT total energy**: -4.10 eV/atom
**Formation enthalpy at 0 K**: -0.529 eV per atom
**N(E_F)**: 4.5 states/eV per cell

Cell lengths 4.2592, 4.2592, 12.7722 Å; angles 90.00, 90.00, 90.00 degrees
Atoms (fractional coordinates):
Y 0.0000 0.0000 0.0000
Er 0.0000 0.0000 0.3341
Er 0.0000 0.0000 0.6659
Ga 0.0000 0.5000 0.1684
Ga 0.0000 0.5000 0.5000
Ga 0.0000 0.5000 0.8316
Ga 0.5000 0.0000 0.1684
Ga 0.5000 0.0000 0.5000
Ga 0.5000 0.0000 0.8316
Ga 0.5000 0.5000 0.0000
Ga 0.5000 0.5000 0.3335
Ga 0.5000 0.5000 0.6665


No. 13
Compound: CoCuTc
Source: the Alexandria database
Functional: PBE
Structure: relaxed

Calculated values
**DFT total energy**: -7.01 eV/atom
**Formation enthalpy at 0 K**: 0.180 eV per atom
**N(E_F)**: 2.6 states/eV per cell

Cell lengths 4.4813, 4.4813, 4.4813 Å; angles 146.16, 132.02, 60.00 degrees
Atoms (fractional coordinates):
Co 0.0000 0.0000 0.0000
Cu 0.6693 0.6693 0.0000
Tc 0.3438 0.3438 0.0000


No. 14
Compound: AcCePr2Se4
Source: the Alexandria database
Functional: PBE
Structure: relaxed

Calculated values
**DFT total energy**: -6.03 eV/atom
**N(E_F)**: 9.6 states/eV per cell
**Energy relative to the elements, uncorrected**: -1.84 eV/atom

Cell lengths 7.4523, 4.2837, 7.4921 Å; angles 90.00, 109.21, 90.00 degrees
Atoms (fractional coordinates):
Ac 0.0000 0.0000 0.0000
Ce 0.0000 0.5000 0.5000
Pr 0.5000 0.0000 0.5000
Pr 0.5000 0.5000 0.0000
Se 0.2505 0.0000 0.7430
Se 0.2563 0.5000 0.2596
Se 0.7437 0.5000 0.7404
Se 0.7495 0.0000 0.2570


No. 15
Compound: Sr2AcRuO6
Source: the Alexandria database
Functional: PBE
Structure: relaxed

Calculated values
**DFT total energy**: -6.96 eV/atom
**Energy relative to the elements, uncorrected**: -2.31 eV/atom

Cell lengths 5.9501, 6.1396, 10.3002 Å; angles 90.00, 124.13, 90.00 degrees
Atoms (fractional coordinates):
Sr 0.2334 0.0491 0.2509
Sr 0.2334 0.4509 0.7509
Sr 0.7666 0.5491 0.2491
Sr 0.7666 0.9509 0.7491
Ac 0.5000 0.0000 0.0000
Ac 0.5000 0.5000 0.5000
Ru 0.0000 0.0000 0.5000
Ru 0.0000 0.5000 0.0000
O 0.1122 0.2327 0.9372
O 0.1122 0.2673 0.4372
O 0.2168 0.6826 0.9491
O 0.2168 0.8174 0.4491
O 0.3240 0.0429 0.7200
O 0.3240 0.4571 0.2200
O 0.6760 0.5429 0.7800
O 0.6760 0.9571 0.2800
O 0.7832 0.1826 0.5509
O 0.7832 0.3174 0.0509
O 0.8878 0.7327 0.5628
O 0.8878 0.7673 0.0628


No. 16
Compound: LaSiSb2
Source: the Alexandria database
Functional: PBE
Structure: relaxed

Calculated values
**DFT total energy**: -5.00 eV/atom
**N(E_F)**: 2.9 states/eV per cell
**Energy relative to the elements, uncorrected**: -0.35 eV/atom

Cell lengths 6.1375, 6.1375, 6.1375 Å; angles 137.50, 137.50, 61.66 degrees
Atoms (fractional coordinates):
La 0.0000 0.0000 0.0000
Si 0.5000 0.5000 0.0000
Sb 0.2500 0.7500 0.5000
Sb 0.7500 0.2500 0.5000


No. 17
Compound: TcTeRh
Source: the Alexandria database
Functional: PBE
Structure: relaxed

Calculated values
**DFT total energy**: -6.59 eV/atom
**N(E_F)**: 3.0 states/eV per cell
**Energy relative to the elements, uncorrected**: 0.37 eV/atom

Cell lengths 3.1025, 3.1025, 6.2409 Å; angles 90.00, 90.00, 120.00 degrees
Atoms (fractional coordinates):
Tc 0.0000 0.0000 0.0000
Te 0.3333 0.6667 0.3286
Rh 0.6667 0.3333 0.6752


No. 18
Compound: Np2Si4Ir3Pt
Source: the Alexandria database
Functional: PBE
Structure: relaxed

Calculated values
**DFT total energy**: -8.75 eV/atom
**N(E_F)**: 20.3 states/eV per cell
**Energy relative to the elements, uncorrected**: -0.73 eV/atom

Cell lengths 4.1126, 4.1126, 10.0516 Å; angles 90.00, 90.00, 90.00 degrees
Atoms (fractional coordinates):
Np 0.0000 0.5000 0.2388
Np 0.5000 0.0000 0.7612
Si 0.0000 0.0000 0.0000
Si 0.0000 0.5000 0.6364
Si 0.5000 0.0000 0.3636
Si 0.5000 0.5000 0.0000
Ir 0.0000 0.5000 0.8720
Ir 0.5000 0.0000 0.1280
Ir 0.5000 0.5000 0.5000
Pt 0.0000 0.0000 0.5000


No. 19
Compound: Cs4K7O
Source: the Alexandria database
Functional: PBE
Structure: relaxed

Calculated values
**DFT total energy**: -1.51 eV/atom
**N(E_F)**: 9.5 states/eV per cell
**Energy relative to the elements, uncorrected**: -0.17 eV/atom

Cell lengths 12.4047, 12.4047, 16.8325 Å; angles 112.03, 112.03, 23.59 degrees
Atoms (fractional coordinates):
Cs 0.0764 0.0764 0.4353
Cs 0.1754 0.1754 0.0633
Cs 0.8246 0.8246 0.9367
Cs 0.9236 0.9236 0.5647
K 0.0000 0.0000 0.0000
K 0.1334 0.1334 0.7533
K 0.2449 0.2449 0.3679
K 0.4855 0.4855 0.8444
K 0.5145 0.5145 0.1556
K 0.7551 0.7551 0.6321
K 0.8666 0.8666 0.2467
O 0.5000 0.5000 0.0000


No. 20
Compound: Ba3Cu2Sb4
Source: the Alexandria database
Functional: PBE
Structure: relaxed

Calculated values
**DFT total energy**: -4.06 eV/atom
**N(E_F)**: 0.7 states/eV per cell
**Energy relative to the elements, uncorrected**: -0.68 eV/atom

Cell lengths 6.9150, 6.9150, 9.8351 Å; angles 100.80, 100.80, 39.50 degrees
Atoms (fractional coordinates):
Ba 0.0000 0.0000 0.0000
Ba 0.3542 0.3542 0.3409
Ba 0.6458 0.6458 0.6591
Cu 0.3776 0.3776 0.7189
Cu 0.6224 0.6224 0.2811
Sb 0.0808 0.0808 0.3650
Sb 0.2828 0.2828 0.9257
Sb 0.7172 0.7172 0.0743
Sb 0.9192 0.9192 0.6350


No. 21
Compound: Sc2CuSi
Source: the Alexandria database
Functional: PBE
Structure: relaxed

Calculated values
**DFT total energy**: -5.51 eV/atom
**N(E_F)**: 5.0 states/eV per cell
**Energy relative to the elements, uncorrected**: 0.03 eV/atom

Cell lengths 4.5978, 4.5978, 4.5978 Å; angles 60.00, 60.00, 60.00 degrees
Atoms (fractional coordinates):
Sc 0.0000 0.0000 0.0000
Sc 0.2500 0.2500 0.2500
Cu 0.5000 0.5000 0.5000
Si 0.7500 0.7500 0.7500


No. 22
Compound: Ce4SbPb5
Source: the Alexandria database
Functional: PBE
Structure: relaxed

Calculated values
**DFT total energy**: -5.08 eV/atom
**N(E_F)**: 28.4 states/eV per cell
**Energy relative to the elements, uncorrected**: -0.44 eV/atom

Cell lengths 8.7326, 8.7326, 8.7326 Å; angles 150.30, 98.38, 89.18 degrees
Atoms (fractional coordinates):
Ce 0.1796 0.1796 0.0000
Ce 0.2745 0.5000 0.7745
Ce 0.7255 0.5000 0.2255
Ce 0.8204 0.8204 0.0000
Sb 0.0000 0.5000 0.5000
Pb 0.1256 0.8016 0.3241
Pb 0.4775 0.8016 0.6759
Pb 0.5000 0.0000 0.5000
Pb 0.5225 0.1984 0.3241
Pb 0.8744 0.1984 0.6759


No. 23
Compound: Sr2TcIr
Source: the Alexandria database
Functional: PBE
Structure: relaxed

Calculated values
**DFT total energy**: -4.91 eV/atom
**Formation enthalpy at 0 K**: 0.742 eV per atom
**N(E_F)**: 3.2 states/eV per cell

Cell lengths 3.4094, 4.3497, 6.4875 Å; angles 90.00, 90.12, 90.00 degrees
Atoms (fractional coordinates):
Sr 0.9997 0.0000 0.2403
Sr 0.0003 0.0000 0.7597
Tc 0.5000 0.5000 0.5000
Ir 0.5000 0.5000 0.0000